TbTiO2: optimized geometry, PBE.

Cell: 3.2925 3.2925 18.9671 Å, 90.00 90.00 120.00°
With the nearest neighbours (Å) after each atom.
Space group R-3m (No. 166, hexagonal axes)
Inequivalent atoms, fractional coordinates:
Tb 0.0000 0.0000 0.0000 (multiplicity 3)  2 O 2.24
Ti 0.0000 0.0000 0.5000 (multiplicity 3)  6 O 2.11
O 0.0000 0.0000 0.1179 (multiplicity 6)  3 Ti 2.11, 1 Tb 2.24



Tb2Ti2O7: optimized geometry, PBE.

Cell: 10.1991 10.1991 10.1991 Å, 90.00 90.00 90.00°
With the nearest neighbours (Å) after each atom.
Space group Fd-3m (No. 227, origin choice 2)
Inequivalent atoms, fractional coordinates:
Tb 0.0000 0.0000 0.0000 (multiplicity 16)  2 O 2.21
Ti 0.0000 0.0000 0.5000 (multiplicity 16)  6 O 1.98
O 0.0795 0.3750 0.8750 (multiplicity 48)  2 Ti 1.98
O 0.1250 0.1250 0.1250 (multiplicity 8)  4 Tb 2.21



Number 1: volume 14.84 Å³/atom, formation energy (no corrections) -2.3167 eV/atom. Number 2: volume 12.06 Å³/atom, formation energy (no corrections) -3.3236 eV/atom.